## Ac7Tb2Sm2 (PBE)

Data for a geometry-optimized Ac7Tb2Sm2 structure.

Raw total energy: -44.7 eV for the cell shown
Formation enthalpy at 0 K: 0.25 eV per atom
Space-group type: C2/m (12)
N(E_F): 18.40 states/eV per cell

a b c (Å): 8.493 8.493 6.730
angles (deg): 95.76 95.76 77.09
Fractional coordinates of all 11 atoms:
Ac1 0.000 0.000 0.000
Ac2 0.087 0.433 0.249
Ac3 0.433 0.087 0.249
Ac4 0.452 0.452 0.739
Ac5 0.548 0.548 0.261
Ac6 0.567 0.913 0.751
Ac7 0.913 0.567 0.751
Tb1 0.173 0.827 0.500
Tb2 0.827 0.173 0.500
Sm1 0.202 0.202 0.711
Sm2 0.798 0.798 0.289